(1)
{"formula": "SnGe2Se2", "functional": "PBE", "state": "relaxed", "de_polymorph_ev_per_atom": 0.000, "energy_ev_per_atom": -4.02, "total_magnetization_mub_per_fu": 0.0, "dos_at_fermi_per_ev_atom": 0.5967, "lattice_angstrom": [[8.263, 0.000, 0.000], [0.000, 8.263, 0.000], [0.000, 0.000, 3.715]], "species": ["Sn", "Sn", "Ge", "Ge", "Ge", "Ge", "Se", "Se", "Se", "Se"], "frac_coords": [[0.000, 0.000, 0.000], [0.500, 0.500, 0.000], [0.188, 0.312, 0.500], [0.312, 0.812, 0.500], [0.688, 0.188, 0.500], [0.812, 0.688, 0.500], [0.160, 0.660, 0.000], [0.340, 0.160, 0.000], [0.660, 0.840, 0.000], [0.840, 0.340, 0.000]]}

(2)
{"formula": "SnGe2Se", "functional": "PBE", "state": "relaxed", "de_polymorph_ev_per_atom": 0.000, "energy_ev_per_atom": -3.99, "total_magnetization_mub_per_fu": 0.0, "dos_at_fermi_per_ev_atom": 0.6599, "lattice_angstrom": [[-2.959, 2.959, 6.871], [2.959, -2.959, 6.871], [2.959, 2.959, -6.871]], "species": ["Sn", "Sn", "Ge", "Ge", "Ge", "Ge", "Se", "Se"], "frac_coords": [[0.000, 0.000, 0.000], [0.750, 0.250, 0.500], [0.139, 0.625, 0.014], [0.375, 0.389, 0.514], [0.611, 0.125, 0.986], [0.875, 0.861, 0.486], [0.250, 0.750, 0.500], [0.500, 0.500, 0.000]]}